(1)
Tb12Nd2Tm PBE-GGA relaxed; formation energy from the elements = 1.71 eV/f.u.; size of the total moment = 0.001 μB per atom; Fermi-level density of states = 45.4 states/eV/cell
1.0
3.558 -5.634 0.000
3.558 5.634 0.000
-1.776 0.000 24.463
Tb Nd Tm
24 4 2
Cartesian
1.783 2.815 4.878
1.779 2.827 8.071
1.776 2.837 13.582
0.012 0.000 13.980
0.001 0.000 21.162
1.784 2.816 22.690
3.555 2.816 1.773
1.779 0.000 3.292
1.797 0.000 10.429
3.564 2.837 10.881
3.561 2.827 16.392
3.557 2.815 19.584
1.783 -2.815 4.878
1.779 -2.827 8.071
1.776 -2.837 13.582
3.543 0.000 14.034
3.561 0.000 21.170
1.784 -2.816 22.690
3.555 -2.816 1.773
5.339 0.000 3.300
5.328 0.000 10.483
3.564 -2.837 10.881
3.561 -2.827 16.392
3.557 -2.815 19.584
0.011 0.000 6.654
1.786 0.000 17.821
3.554 0.000 6.642
5.329 0.000 17.809
0.002 0.000 24.459
5.338 0.000 0.003

***

(2)
Tb4Nd2Tm5 PBE-GGA relaxed; E above lowest polymorph = 2.29 eV per formula unit; formation energy from the elements = 2.53 eV/f.u.; size of the total moment = 0.000 μB per atom; Fermi-level density of states = 17.0 states/eV/cell
1.0
-1.745 4.504 11.541
1.745 -4.504 11.541
1.745 4.504 -11.541
Tb Nd Tm
4 2 5
Cartesian
0.000 0.000 2.238
1.745 1.749 0.000
0.000 2.755 11.541
0.000 0.000 20.843
0.000 0.000 5.369
0.000 0.000 17.712
1.745 2.766 -3.253
1.745 2.766 3.253
0.000 4.504 0.000
0.000 1.738 8.287
0.000 1.738 14.794

***

(3)
Tb2Nd3Tm7 PBE-GGA relaxed; E above lowest polymorph = 0.03 eV per formula unit; formation energy from the elements = 1.11 eV/f.u.; size of the total moment = 0.000 μB per atom; Fermi-level density of states = 17.5 states/eV/cell
1.0
6.305 0.000 0.000
0.000 3.512 0.000
-1.921 0.000 17.325
Tb Nd Tm
2 3 7
Cartesian
0.022 0.000 3.027
4.362 0.000 14.298
1.237 1.756 14.580
2.192 0.000 8.663
3.147 1.756 2.745
-0.961 1.756 8.663
0.131 0.000 11.524
1.594 0.000 0.000
1.065 1.756 5.810
3.319 1.756 11.515
2.790 0.000 17.325
4.253 0.000 5.801

***

(4)
TbNd3Tm3 PBE-GGA relaxed; E above lowest polymorph = 0.00 eV per formula unit; formation energy from the elements = 0.14 eV/f.u.; size of the total moment = 0.000 μB per atom; Fermi-level density of states = 24.5 states/eV/cell
1.0
9.614 0.000 0.000
-4.807 8.326 0.000
0.000 0.000 5.739
Tb Nd Tm
2 6 6
Cartesian
0.000 5.551 1.435
4.807 2.775 4.304
-3.395 6.714 1.435
0.690 2.029 1.435
2.102 0.417 4.304
2.705 7.909 1.435
4.117 6.297 4.304
8.202 1.612 4.304
-2.043 5.127 4.304
1.388 3.993 4.304
4.153 0.794 1.435
0.654 7.532 4.304
3.419 4.333 1.435
6.850 3.199 1.435

***

(5)
TbNd5Tm4 PBE-GGA relaxed; formation energy from the elements = 0.20 eV/f.u.; size of the total moment = 0.000 μB per atom; Fermi-level density of states = 12.3 states/eV/cell
1.0
9.306 -1.798 0.000
9.306 1.798 0.000
-2.849 0.000 9.752
Tb Nd Tm
1 5 4
Cartesian
0.000 0.000 0.000
-1.425 0.000 4.876
2.016 0.000 5.859
6.884 0.000 1.898
8.880 0.000 7.853
13.747 0.000 3.893
3.428 0.000 0.973
5.421 0.000 6.867
10.342 0.000 2.884
12.336 0.000 8.779

***

(6)
Tb2Nd2Tm7 PBE-GGA relaxed; formation energy from the elements = 1.70 eV/f.u.; size of the total moment = 0.000 μB per atom; Fermi-level density of states = 17.5 states/eV/cell
1.0
5.580 -5.743 0.000
5.580 5.743 0.000
-2.454 0.000 5.516
Tb Nd Tm
2 2 7
Cartesian
5.580 3.324 0.000
5.580 -3.324 0.000
2.802 0.000 3.813
5.903 0.000 1.703
-1.227 0.000 2.758
2.858 3.010 1.773
2.385 0.000 0.421
5.848 3.010 3.743
2.858 -3.010 1.773
6.321 0.000 5.095
5.848 -3.010 3.743

***

- What is the Fermi-level density of states in the fourth record?
  24.5 states/eV/cell

***

Repeat the fourth record exactly.
TbNd3Tm3 PBE-GGA relaxed; E above lowest polymorph = 0.00 eV per formula unit; formation energy from the elements = 0.14 eV/f.u.; size of the total moment = 0.000 μB per atom; Fermi-level density of states = 24.5 states/eV/cell
1.0
9.614 0.000 0.000
-4.807 8.326 0.000
0.000 0.000 5.739
Tb Nd Tm
2 6 6
Cartesian
0.000 5.551 1.435
4.807 2.775 4.304
-3.395 6.714 1.435
0.690 2.029 1.435
2.102 0.417 4.304
2.705 7.909 1.435
4.117 6.297 4.304
8.202 1.612 4.304
-2.043 5.127 4.304
1.388 3.993 4.304
4.153 0.794 1.435
0.654 7.532 4.304
3.419 4.333 1.435
6.850 3.199 1.435

***

- The lowest Fermi-level density of states belongs to which entry?
  TbNd5Tm4